Material: Hf3SbAs
Method: DFT, PBE-GGA
State: relaxed

## Properties
Its space-group type is No. 64. The value obtained for the energy relative to the elements, uncorrected is -0.58 eV/atom.

Cell lengths 9.408, 9.408, 5.341 Å; angles 90.00, 90.00, 111.50 degrees
Fractional coordinates of all 20 atoms:
Hf 0.064 0.436 0.750
Hf 0.165 0.165 0.000
Hf 0.192 0.808 0.779
Hf 0.308 0.692 0.279
Hf 0.335 0.335 0.500
Hf 0.436 0.064 0.250
Hf 0.564 0.936 0.750
Hf 0.665 0.665 0.500
Hf 0.692 0.308 0.721
Hf 0.808 0.192 0.221
Hf 0.835 0.835 0.000
Hf 0.936 0.564 0.250
Sb 0.108 0.892 0.286
Sb 0.392 0.608 0.786
Sb 0.608 0.392 0.214
Sb 0.892 0.108 0.714
As 0.113 0.387 0.250
As 0.387 0.113 0.750
As 0.613 0.887 0.250
As 0.887 0.613 0.750

Material: Ac2PmPd6Pb3
Method: DFT, PBE-GGA
State: relaxed

## Properties
Its space-group type is No. 123. The electronic total energy is -5.027 eV/atom.

Cell lengths 4.123, 4.123, 19.204 Å; angles 90.00, 90.00, 90.00 degrees
Fractional coordinates of all 12 atoms:
Ac 0.000 0.000 0.115
Ac 0.000 0.000 0.885
Pm 0.000 0.000 0.500
Pd 0.000 0.500 0.391
Pd 0.000 0.500 0.609
Pd 0.500 0.000 0.391
Pd 0.500 0.000 0.609
Pd 0.500 0.500 0.153
Pd 0.500 0.500 0.847
Pb 0.500 0.500 0.000
Pb 0.500 0.500 0.294
Pb 0.500 0.500 0.706

Material: BaHgPt
Method: DFT, PBE-GGA
State: relaxed

## Properties
Its space-group type is No. 216. The electronic total energy is -2.899 eV/atom.

Cell lengths 7.554, 7.554, 7.554 Å; angles 90.00, 90.00, 90.00 degrees
Fractional coordinates of all 12 atoms:
Ba 0.000 0.000 0.000
Ba 0.000 0.500 0.500
Ba 0.500 0.000 0.500
Ba 0.500 0.500 0.000
Hg 0.250 0.250 0.250
Hg 0.250 0.750 0.750
Hg 0.750 0.250 0.750
Hg 0.750 0.750 0.250
Pt 0.250 0.250 0.750
Pt 0.250 0.750 0.250
Pt 0.750 0.250 0.250
Pt 0.750 0.750 0.750

no.,total magnetization (μB/f.u.),D(E_F) (states/eV/atom)
1,0.0,0.6602
2,0.0,0.4479
3,0.0,0.2526